Entry 1:
VASP calculation (GGA-PBE) on Mg2SbCl after structural relaxation.

a b c (Å): 5.215 5.215 3.343
angles (deg): 90.00 90.00 90.00
Space group P4/mmm (No. 123)
One atom of each set of equivalent atoms:
Mg 0.000 0.500 0.000 (multiplicity 2)
Sb 0.000 0.000 0.500 (multiplicity 1)
Cl 0.500 0.500 0.500 (multiplicity 1)

Calculated values
calculated total energy: -2.8174 eV/atom
formation energy (no corrections): -0.528 eV/atom
distance to the lowest polymorph of the same formula: 213.2 meV per atom


Entry 2:
VASP calculation (GGA-PBE) on La2PmPrEr2 after structural relaxation.

a b c (Å): 5.700 10.411 6.974
angles (deg): 90.00 90.00 90.00
Space group Pmc2_1 (No. 26)
One atom of each set of equivalent atoms:
La 0.000 0.025 0.000 (multiplicity 2)
La 0.500 0.199 0.268 (multiplicity 2)
Pm 0.500 0.473 0.897 (multiplicity 2)
Pr 0.000 0.307 0.636 (multiplicity 2)
Er 0.000 0.373 0.145 (multiplicity 2)
Er 0.500 0.131 0.757 (multiplicity 2)

Calculated values
calculated total energy: -4.6823 eV/atom
formation energy from the elements: 6.7 kJ per mole of atoms


Entry 3:
VASP calculation (GGA-PBE) on In3IrCl after structural relaxation.

a b c (Å): 6.5613 6.5613 10.0419
angles (deg): 90.00 90.00 120.00
Space group R3m (No. 160, hexagonal axes)
One atom of each set of equivalent atoms:
In 0.1725 0.3451 0.0000 (multiplicity 9)
Ir 0.0000 0.0000 0.8236 (multiplicity 3)
Cl 0.0000 0.0000 0.5931 (multiplicity 3)

Calculated values
calculated total energy: -3.6707 eV/atom
formation energy (no corrections): 0.114 eV/atom
distance to the lowest polymorph of the same formula: 551.7 meV per atom


no.,density (Mg/m³)
1,3.8
2,7.2
3,7.6